This record from Alexandria via LeMat-Bulk describes an optimized crystal structure of Ac2In3Ag6. The functional is PBE. Values from VASP.

The magnetization is 0.00 μB/f.u. Its energy above the lowest structure with this stoichiometry is 0.000 eV/atom. The space group is P-62m, No. 189.

Quantum ESPRESSO input file:
```
&SYSTEM
  ibrav = 0, nat = 11, ntyp = 3
/
ATOMIC_SPECIES
In 114.82 In.upf
Ac 227.00 Ac.upf
Ag 107.87 Ag.upf
ATOMIC_POSITIONS crystal
In 0.500 0.613 0.000
In 0.500 0.387 0.387
In 0.500 0.000 0.613
Ac 0.000 0.333 0.667
Ac 0.000 0.667 0.333
Ag 0.500 0.272 0.000
Ag 0.500 0.728 0.728
Ag 0.000 0.198 0.198
Ag 0.000 0.000 0.802
Ag 0.500 0.000 0.272
Ag 0.000 0.802 0.000
CELL_PARAMETERS angstrom
4.741 0.000 0.000
0.000 8.241 0.000
0.000 -4.121 7.137
```

=====

This record from Alexandria via LeMat-Bulk describes an optimized crystal structure of GaBiSeO6. The functional is PBE. Values from VASP.

Its formation energy (no corrections) is -1.122 eV per atom. The magnetization is 0.00 μB/f.u. The space group is P-31c, No. 163.

Quantum ESPRESSO input file:
```
&SYSTEM
  ibrav = 0, nat = 18, ntyp = 4
/
ATOMIC_SPECIES
O 16.00 O.upf
Bi 208.98 Bi.upf
Se 78.96 Se.upf
Ga 69.72 Ga.upf
ATOMIC_POSITIONS crystal
O 0.023 0.636 0.355
O 0.364 0.977 0.145
O 0.977 0.364 0.645
O 0.364 0.387 0.355
O 0.387 0.023 0.645
O 0.636 0.613 0.645
O 0.023 0.387 0.145
O 0.613 0.977 0.355
O 0.613 0.636 0.145
O 0.977 0.613 0.855
O 0.636 0.023 0.855
O 0.387 0.364 0.855
Bi 0.000 0.000 0.500
Bi 0.000 0.000 0.000
Se 0.333 0.667 0.250
Se 0.667 0.333 0.750
Ga 0.667 0.333 0.250
Ga 0.333 0.667 0.750
CELL_PARAMETERS angstrom
-2.444 -4.172 1.584
3.206 2.412 3.129
-7.523 5.673 3.335
```

=====

This record from Alexandria via LeMat-Bulk describes an optimized crystal structure of BaCd2Ge2Au. The functional is PBE. Values from VASP.

The magnetization is 0.00 μB/f.u. Its total energy is -2.965 eV per atom. The space group is Pnnm, No. 58.

Quantum ESPRESSO input file:
```
&SYSTEM
  ibrav = 0, nat = 12, ntyp = 4
/
ATOMIC_SPECIES
Cd 112.41 Cd.upf
Ge 72.64 Ge.upf
Au 196.97 Au.upf
Ba 137.33 Ba.upf
ATOMIC_POSITIONS crystal
Cd 0.500 0.764 0.708
Cd 0.000 0.264 0.792
Cd 0.000 0.736 0.208
Cd 0.500 0.236 0.292
Ge 0.000 0.244 0.174
Ge 0.500 0.744 0.326
Ge 0.000 0.756 0.826
Ge 0.500 0.256 0.674
Au 0.000 0.000 0.000
Au 0.500 0.500 0.500
Ba 0.500 0.500 0.000
Ba 0.000 0.000 0.500
CELL_PARAMETERS angstrom
4.674 0.000 0.000
0.000 5.683 0.000
0.000 0.000 12.253
```

=====

This record from Alexandria via LeMat-Bulk describes an optimized crystal structure of Cu4SnPd15. The functional is PBE. Values from VASP.

The magnetization is 0.00 μB/f.u. Its total energy is -5.054 eV per atom. The space group is P4/mmm, No. 123.

Quantum ESPRESSO input file:
```
&SYSTEM
  ibrav = 0, nat = 20, ntyp = 3
/
ATOMIC_SPECIES
Pd 106.42 Pd.upf
Sn 118.71 Sn.upf
Cu 63.55 Cu.upf
ATOMIC_POSITIONS crystal
Pd 0.000 0.500 0.303
Pd 0.000 0.500 0.106
Pd 0.000 0.500 0.894
Pd 0.500 0.500 0.598
Pd 0.500 0.500 0.000
Pd 0.500 0.000 0.697
Pd 0.500 0.500 0.795
Pd 0.000 0.500 0.697
Pd 0.500 0.500 0.402
Pd 0.500 0.500 0.205
Pd 0.000 0.500 0.500
Pd 0.500 0.000 0.106
Pd 0.500 0.000 0.894
Pd 0.500 0.000 0.303
Pd 0.500 0.000 0.500
Sn 0.000 0.000 0.000
Cu 0.000 0.000 0.401
Cu 0.000 0.000 0.795
Cu 0.000 0.000 0.599
Cu 0.000 0.000 0.205
CELL_PARAMETERS angstrom
3.930 0.000 0.000
0.000 3.930 0.000
0.000 0.000 19.495
```

=====

This record from Alexandria via LeMat-Bulk describes an optimized crystal structure of Y2ThMnC4. The functional is PBE. Values from VASP.

The magnetization is 0.67 μB/f.u. Its total energy is -8.408 eV per atom. The space group is Cmcm, No. 63.

Quantum ESPRESSO input file:
```
&SYSTEM
  ibrav = 0, nat = 16, ntyp = 4
/
ATOMIC_SPECIES
Th 232.04 Th.upf
Mn 54.94 Mn.upf
C 12.01 C.upf
Y 88.91 Y.upf
ATOMIC_POSITIONS crystal
Th 0.912 0.825 0.250
Th 0.088 0.175 0.750
Mn 0.176 0.351 0.250
Mn 0.824 0.649 0.750
C 0.000 0.000 0.500
C 0.590 0.181 0.250
C 0.731 0.462 0.864
C 0.269 0.538 0.364
C 0.731 0.462 0.636
C 0.269 0.538 0.136
C 0.410 0.819 0.750
C 0.000 0.000 0.000
Y 0.369 0.737 0.955
Y 0.631 0.263 0.455
Y 0.369 0.737 0.545
Y 0.631 0.263 0.045
CELL_PARAMETERS angstrom
3.489 0.000 0.000
-1.745 5.913 0.000
0.000 0.000 11.943
```

=====

This record from Alexandria via LeMat-Bulk describes an optimized crystal structure of PaPdPbAu. The functional is PBE. Values from VASP.

The magnetization is 0.00 μB/f.u. Its total energy is -5.775 eV per atom. The space group is F-43m, No. 216.

Quantum ESPRESSO input file:
```
&SYSTEM
  ibrav = 0, nat = 4, ntyp = 4
/
ATOMIC_SPECIES
Pb 207.20 Pb.upf
Au 196.97 Au.upf
Pa 231.04 Pa.upf
Pd 106.42 Pd.upf
ATOMIC_POSITIONS crystal
Pb 0.250 0.250 0.250
Au 0.000 0.000 0.000
Pa 0.750 0.750 0.750
Pd 0.500 0.500 0.500
CELL_PARAMETERS angstrom
-2.643 -2.291 -3.553
-4.310 -2.229 1.146
-4.312 1.962 -1.555
```